4
Lattice="4.2467 0.0000 0.0000 0.0000 4.2467 0.0000 0.0000 0.0000 9.9039" Properties=species:S:1:pos:R:3 comment="Rb2CdIn PBE relaxed" dos_ef_per_ev_cell=4.0 formation_energy_kj_per_mol_atoms=9.5 space_group="P4/mmm, No. 123" pbc="T T T"
Rb 0.0000 0.0000 2.4523
Rb 0.0000 0.0000 7.4516
Cd 2.1234 2.1234 4.9519
In 2.1234 2.1234 0.0000

19
Lattice="5.4448 3.1435 5.5078 -5.4448 3.1435 5.5078 0.0000 -6.2871 5.5078" Properties=species:S:1:pos:R:3 comment="Rb2Cd2In15 PBE relaxed" dos_ef_per_ev_cell=6.1 formation_energy_kj_per_mol_atoms=-1.9 space_group="R-3m, No. 166" pbc="T T T"
Rb 0.0000 0.0000 2.6860
Rb 0.0000 0.0000 13.8374
Cd 0.0000 0.0000 6.6883
Cd 0.0000 0.0000 9.8351
In -2.7224 -1.5718 5.5078
In 0.0000 -3.1658 5.1996
In -2.7417 1.5829 5.1996
In -1.5827 -2.7413 8.2617
In -3.1654 0.0000 8.2617
In -2.7417 -1.5829 11.3238
In -2.7224 1.5718 11.0156
In 1.5827 -2.7413 8.2617
In 0.0000 3.1435 5.5078
In -1.5827 2.7413 8.2617
In 2.7417 1.5829 5.1995
In 3.1654 0.0000 8.2617
In 1.5827 2.7413 8.2617
In 2.7417 -1.5829 11.3238
In 0.0000 3.1658 11.3238